This record from Alexandria describes crystalline K2V2BiO7 at its relaxed geometry. The functional is PBE with a Hubbard U.

Results
calculated density = 3.353 Mg/m³
E = -0.4703 Ry per atom
D(E_F) = 0.47 states/eV/atom

Cell lengths 6.1646, 6.1646, 22.6193 Å; angles 90.00, 90.00, 120.00 degrees
Closest atoms and distances in Å follow each position.
Space group R32 (No. 155, hexagonal axes)
Unique sites:
K: 0.0000 0.0000 0.2340 x6  9 O 2.97-3.32
V: 0.0000 0.0000 0.0800 x6  4 O 1.76-1.81
Bi: 0.0000 0.0000 0.5000 x3  6 O 2.35
O: 0.0000 0.0000 0.0000 x3  2 V 1.81
O: 0.0248 0.4929 0.7735 x18  1 V 1.76